{
  "formula": "Hf3NbTc4",
  "functional": "PBE",
  "state": "optimized geometry",
  "space_group": "Pmmm (47)",
  "dos_at_fermi_per_ev_atom": 0.736,
  "dft_energy_ev_per_atom": -10.641,
  "lattice_angstrom": [[3.2403, 0.0000, 0.0000], [0.0000, 4.5950, 0.0000], [0.0000, 0.0000, 9.1807]],
  "species": ["Hf", "Hf", "Hf", "Nb", "Tc", "Tc", "Tc", "Tc"],
  "frac_coords": [[0.0000, 0.0000, 0.0000], [0.0000, 0.5000, 0.2510], [0.0000, 0.5000, 0.7490], [0.0000, 0.0000, 0.5000], [0.5000, 0.0000, 0.2577], [0.5000, 0.0000, 0.7423], [0.5000, 0.5000, 0.0000], [0.5000, 0.5000, 0.5000]]
}

---

{
  "formula": "KTlAu2",
  "functional": "PBE",
  "state": "optimized geometry",
  "space_group": "Fm-3m (225)",
  "dos_at_fermi_per_ev_atom": 0.133,
  "de_polymorph_mev_per_atom": 120,
  "lattice_angstrom": [[0.0000, 3.7913, 3.7913], [3.7913, 0.0000, 3.7913], [3.7913, 3.7913, 0.0000]],
  "species": ["K", "Tl", "Au", "Au"],
  "frac_coords": [[0.0000, 0.0000, 0.0000], [0.5000, 0.5000, 0.5000], [0.2500, 0.2500, 0.2500], [0.7500, 0.7500, 0.7500]]
}

---

{
  "formula": "YHo2O",
  "functional": "PBE",
  "state": "optimized geometry",
  "space_group": "P4/mmm (123)",
  "dos_at_fermi_per_ev_atom": 1.259,
  "de_polymorph_mev_per_atom": 530,
  "formation_energy_uncorrected_ev_per_atom": -0.822,
  "lattice_angstrom": [[3.1891, 0.0000, 0.0000], [0.0000, 3.1891, 0.0000], [0.0000, 0.0000, 8.6621]],
  "species": ["Y", "Ho", "Ho", "O"],
  "frac_coords": [[0.0000, 0.0000, 0.0000], [0.5000, 0.5000, 0.3239], [0.5000, 0.5000, 0.6761], [0.0000, 0.0000, 0.5000]]
}

---

{
  "formula": "Y2MgGe2Rh5",
  "functional": "PBE",
  "state": "optimized geometry",
  "space_group": "P4/mbm (127)",
  "dos_at_fermi_per_ev_atom": 0.355,
  "dft_energy_ev_per_atom": -6.830,
  "lattice_angstrom": [[9.8809, 0.0000, 0.0000], [0.0000, 9.8809, 0.0000], [0.0000, 0.0000, 3.5581]],
  "species": ["Y", "Y", "Y", "Y", "Mg", "Mg", "Ge", "Ge", "Ge", "Ge", "Rh", "Rh", "Rh", "Rh", "Rh", "Rh", "Rh", "Rh", "Rh", "Rh"],
  "frac_coords": [[0.1734, 0.3266, 0.0000], [0.3266, 0.8266, 0.0000], [0.6734, 0.1734, 0.0000], [0.8266, 0.6734, 0.0000], [0.0000, 0.0000, 0.0000], [0.5000, 0.5000, 0.0000], [0.1257, 0.6257, 0.0000], [0.3743, 0.1257, 0.0000], [0.6257, 0.8743, 0.0000], [0.8743, 0.3743, 0.0000], [0.0000, 0.5000, 0.5000], [0.0674, 0.7894, 0.5000], [0.2106, 0.0674, 0.5000], [0.2894, 0.5674, 0.5000], [0.4326, 0.2894, 0.5000], [0.5000, 0.0000, 0.5000], [0.5674, 0.7106, 0.5000], [0.7106, 0.4326, 0.5000], [0.7894, 0.9326, 0.5000], [0.9326, 0.2106, 0.5000]]
}

---

{
  "formula": "Zr2Al2Ni",
  "functional": "PBE",
  "state": "optimized geometry",
  "space_group": "C2/c (15)",
  "dos_at_fermi_per_ev_atom": 0.730,
  "de_polymorph_mev_per_atom": 161,
  "lattice_angstrom": [[5.4359, -2.7085, 0.0000], [5.4359, 2.7085, 0.0000], [-2.9498, 0.0000, 6.2189]],
  "species": ["Zr", "Zr", "Zr", "Zr", "Al", "Al", "Al", "Al", "Ni", "Ni"],
  "frac_coords": [[0.0418, 0.2125, 0.4718], [0.2125, 0.0418, 0.9718], [0.7875, 0.9582, 0.0282], [0.9582, 0.7875, 0.5282], [0.2817, 0.4624, 0.8702], [0.4624, 0.2817, 0.3702], [0.5376, 0.7183, 0.6298], [0.7183, 0.5376, 0.1298], [0.3239, 0.6761, 0.2500], [0.6761, 0.3239, 0.7500]]
}

---

{
  "formula": "Sr2LiNiH6",
  "functional": "PBE",
  "state": "optimized geometry",
  "space_group": "P-3m1 (164)",
  "dos_at_fermi_per_ev_atom": 0.198,
  "dft_energy_ev_per_atom": -3.538,
  "lattice_angstrom": [[5.2828, 0.0000, 0.0000], [-2.6414, 4.5750, 0.0000], [0.0000, 0.0000, 4.6147]],
  "species": ["Sr", "Sr", "Li", "Ni", "H", "H", "H", "H", "H", "H"],
  "frac_coords": [[0.3333, 0.6667, 0.2317], [0.6667, 0.3333, 0.7683], [0.0000, 0.0000, 0.5000], [0.0000, 0.0000, 0.0000], [0.1538, 0.3075, 0.7806], [0.1538, 0.8462, 0.7806], [0.3075, 0.1538, 0.2194], [0.6925, 0.8462, 0.7806], [0.8462, 0.1538, 0.2194], [0.8462, 0.6925, 0.2194]]
}